A crystal of Y2TlIr relaxed with PBEsol, computed with SCAN.

Cell: 3.943 3.943 6.501 Å, 90.00 90.00 90.00°
Element x y z (fractional)
Y: 0.000 0.000 0.000
Y: 0.500 0.500 0.333
Tl: 0.500 0.500 0.788
Ir: 0.000 0.000 0.411

Values from the calculation:
* VASP energy: -50.2140 eV/atom

A crystal of CaAl2OsCl relaxed with PBEsol, computed with SCAN.

Cell: 4.910 4.910 4.388 Å, 90.00 90.00 90.00°
Element x y z (fractional)
Ca: 0.000 0.000 0.000
Al: 0.000 0.500 0.500
Al: 0.500 0.000 0.500
Os: 0.500 0.500 0.000
Cl: 0.500 0.500 0.500

Values from the calculation:
* formation energy without anion corrections: 80.99 kJ/mol of atoms

A crystal of Ta2ZnAu relaxed with PBEsol, computed with SCAN.

Cell: 2.814 2.814 8.284 Å, 90.00 90.00 90.00°
Element x y z (fractional)
Ta: 0.000 0.000 0.000
Ta: 0.500 0.500 0.274
Zn: 0.000 0.000 0.516
Au: 0.500 0.500 0.747

Values from the calculation:
* VASP energy: -54.0865 eV/atom

A crystal of KLa2Mg relaxed with PBEsol, computed with SCAN.

Cell: 6.279 3.523 6.721 Å, 90.00 109.53 90.00°
Element x y z (fractional)
K: 0.000 0.000 0.000
La: 0.000 0.500 0.500
La: 0.500 0.000 0.500
Mg: 0.500 0.500 0.000

Values from the calculation:
* VASP energy: -24.6145 eV/atom